Entry 1:
First-principles (PBE) data for ZnCrCu2 after structural relaxation, as listed in Alexandria via LeMat-Bulk. Values from VASP.

DFT formation energy, eV per atom: 0.133
Density of states at the Fermi level, states/eV/cell: 2.46
Space-group type: P4mm

Quantum ESPRESSO input file:
```
&SYSTEM
  ibrav = 0, nat = 4, ntyp = 3
/
ATOMIC_SPECIES
Zn 65.41 Zn.upf
Cr 52.00 Cr.upf
Cu 63.55 Cu.upf
ATOMIC_POSITIONS crystal
Zn 0.000 0.000 0.000
Cr 0.500 0.500 0.256
Cu 0.000 0.000 0.502
Cu 0.500 0.500 0.746
CELL_PARAMETERS angstrom
2.521 0.000 0.000
0.000 2.521 0.000
0.000 0.000 7.750
```

Entry 2:
First-principles (PBE) data for Pu2Si3Au after structural relaxation, as listed in Alexandria via LeMat-Bulk. Values from VASP.

Raw formation energy, eV per atom: -0.474
Density of states at the Fermi level, states/eV/cell: 43.92
Space-group type: Fmmm

Quantum ESPRESSO input file:
```
&SYSTEM
  ibrav = 0, nat = 12, ntyp = 3
/
ATOMIC_SPECIES
Pu 244.00 Pu.upf
Si 28.09 Si.upf
Au 196.97 Au.upf
ATOMIC_POSITIONS crystal
Pu 0.243 0.757 0.757
Pu 0.250 0.250 0.250
Pu 0.750 0.750 0.750
Pu 0.757 0.243 0.243
Si 0.163 0.163 0.837
Si 0.163 0.674 0.326
Si 0.326 0.837 0.163
Si 0.674 0.163 0.837
Si 0.837 0.326 0.674
Si 0.837 0.837 0.163
Au 0.334 0.334 0.666
Au 0.666 0.666 0.334
CELL_PARAMETERS angstrom
0.000 4.148 7.165
4.101 0.000 7.165
4.101 4.148 0.000
```

Entry 3:
First-principles (PBE) data for CaIr3Os after structural relaxation, as listed in Alexandria via LeMat-Bulk. Values from VASP.

DFT formation energy, eV per atom: 0.931
Density of states at the Fermi level, states/eV/cell: 4.68
Space-group type: Pm-3m

Quantum ESPRESSO input file:
```
&SYSTEM
  ibrav = 0, nat = 5, ntyp = 3
/
ATOMIC_SPECIES
Ca 40.08 Ca.upf
Ir 192.22 Ir.upf
Os 190.23 Os.upf
ATOMIC_POSITIONS crystal
Ca 0.000 0.000 0.000
Ir 0.000 0.500 0.500
Ir 0.500 0.000 0.500
Ir 0.500 0.500 0.000
Os 0.500 0.500 0.500
CELL_PARAMETERS angstrom
4.795 0.000 0.000
0.000 4.795 0.000
0.000 0.000 4.795
```

Entry 4:
First-principles (PBE) data for CeAlFe2Ge4 after structural relaxation, as listed in Alexandria via LeMat-Bulk. Values from VASP.

DFT formation energy, eV per atom: 0.023
Density of states at the Fermi level, states/eV/cell: 5.99
Space-group type: P4/mmm

Quantum ESPRESSO input file:
```
&SYSTEM
  ibrav = 0, nat = 8, ntyp = 4
/
ATOMIC_SPECIES
Ce 140.12 Ce.upf
Al 26.98 Al.upf
Fe 55.84 Fe.upf
Ge 72.64 Ge.upf
ATOMIC_POSITIONS crystal
Ce 0.000 0.000 0.000
Al 0.000 0.000 0.500
Fe 0.500 0.500 0.314
Fe 0.500 0.500 0.686
Ge 0.000 0.500 0.294
Ge 0.000 0.500 0.706
Ge 0.500 0.000 0.294
Ge 0.500 0.000 0.706
CELL_PARAMETERS angstrom
4.873 0.000 0.000
0.000 4.873 0.000
0.000 0.000 6.387
```

Entry 5:
First-principles (PBE) data for Zn8Cu5Pd after structural relaxation, as listed in Alexandria via LeMat-Bulk. Values from VASP.

DFT formation energy, eV per atom: -0.016
Density of states at the Fermi level, states/eV/cell: 4.48
Space-group type: I-4

Quantum ESPRESSO input file:
```
&SYSTEM
  ibrav = 0, nat = 14, ntyp = 3
/
ATOMIC_SPECIES
Zn 65.41 Zn.upf
Cu 63.55 Cu.upf
Pd 106.42 Pd.upf
ATOMIC_POSITIONS crystal
Zn 0.087 0.357 0.600
Zn 0.134 0.420 0.059
Zn 0.360 0.074 0.941
Zn 0.513 0.913 0.270
Zn 0.580 0.640 0.714
Zn 0.643 0.243 0.730
Zn 0.757 0.487 0.400
Zn 0.926 0.866 0.286
Cu 0.029 0.719 0.919
Cu 0.281 0.200 0.310
Cu 0.500 0.500 0.000
Cu 0.800 0.110 0.081
Cu 0.890 0.971 0.690
Pd 0.250 0.750 0.500
CELL_PARAMETERS angstrom
-3.665 3.665 3.739
3.665 -3.665 3.739
3.665 3.665 -3.739
```

Entry 6:
First-principles (PBE) data for SrZrSi2 after structural relaxation, as listed in Alexandria via LeMat-Bulk. Values from VASP.

Raw formation energy, eV per atom: -0.029
Density of states at the Fermi level, states/eV/cell: 3.18
Space-group type: Pmmm

Quantum ESPRESSO input file:
```
&SYSTEM
  ibrav = 0, nat = 4, ntyp = 3
/
ATOMIC_SPECIES
Sr 87.62 Sr.upf
Zr 91.22 Zr.upf
Si 28.09 Si.upf
ATOMIC_POSITIONS crystal
Sr 0.000 0.000 0.000
Zr 0.500 0.500 0.500
Si 0.000 0.000 0.500
Si 0.500 0.500 0.000
CELL_PARAMETERS angstrom
3.239 0.000 0.000
0.000 4.900 0.000
0.000 0.000 5.769
```

Entry 7:
First-principles (PBE) data for AlSb3Rh after structural relaxation, as listed in Alexandria via LeMat-Bulk. Values from VASP.

Raw formation energy, eV per atom: 0.439
Density of states at the Fermi level, states/eV/cell: 5.54
Space-group type: Pm-3m

Quantum ESPRESSO input file:
```
&SYSTEM
  ibrav = 0, nat = 5, ntyp = 3
/
ATOMIC_SPECIES
Al 26.98 Al.upf
Sb 121.76 Sb.upf
Rh 102.91 Rh.upf
ATOMIC_POSITIONS crystal
Al 0.000 0.000 0.000
Sb 0.000 0.500 0.500
Sb 0.500 0.000 0.500
Sb 0.500 0.500 0.000
Rh 0.500 0.500 0.500
CELL_PARAMETERS angstrom
5.173 0.000 0.000
0.000 5.173 0.000
0.000 0.000 5.173
```

Entry 8:
First-principles (PBE) data for Ce4BiRu after structural relaxation, as listed in Alexandria via LeMat-Bulk. Values from VASP.

DFT formation energy, eV per atom: -0.364
Density of states at the Fermi level, states/eV/cell: 33.04
Space-group type: C2/m

Quantum ESPRESSO input file:
```
&SYSTEM
  ibrav = 0, nat = 12, ntyp = 3
/
ATOMIC_SPECIES
Ce 140.12 Ce.upf
Bi 208.98 Bi.upf
Ru 101.07 Ru.upf
ATOMIC_POSITIONS crystal
Ce 0.098 0.661 0.375
Ce 0.213 0.787 0.000
Ce 0.304 0.304 0.800
Ce 0.339 0.902 0.625
Ce 0.661 0.098 0.375
Ce 0.696 0.696 0.200
Ce 0.787 0.213 0.000
Ce 0.902 0.339 0.625
Bi 0.195 0.195 0.197
Bi 0.805 0.805 0.803
Ru 0.463 0.463 0.671
Ru 0.537 0.537 0.329
CELL_PARAMETERS angstrom
8.390 -3.425 0.000
8.390 3.425 0.000
-2.036 0.000 5.649
```

no.,mass density (g/cm³)
1,8.2
2,10.5
3,12.2
4,6.2
5,7.8
6,4.3
7,5.9
8,8.9